Entry 1:
## Re2AsAu2 (PBE-GGA)

Data for a relaxed structure of Re2AsAu2.

## Properties
Theoretical density, Mg/m³: 15.14
Relative energy among the computed polymorphs, eV per atom: 0.0000
Calculated formation energy, meV per atom: 724
Calculated volume, Å³/cell: 185

Cell: 3.5982 3.5982 14.2555 Å, 90.00 90.00 90.00°
Space group I4/mmm (No. 139)
One atom of each set of equivalent atoms:
Re1 0.0000 0.5000 0.2500 (multiplicity 4)
As1 0.0000 0.0000 0.0000 (multiplicity 2)
Au1 0.0000 0.0000 0.4028 (multiplicity 4)



Entry 2:
## CsTl2S2 (PBE-GGA)

Data for a relaxed structure of CsTl2S2.

## Properties
Formation energy without anion corrections, kJ/mol of atoms: -32
Theoretical density, Mg/m³: 6.53
Relative energy among the computed polymorphs, eV per atom: 0.1838
Calculated volume, Å³/cell: 308

Cell: 8.8283 8.8283 3.9551 Å, 90.00 90.00 90.00°
Space group P4/mbm (No. 127)
One atom of each set of equivalent atoms:
Cs1 0.0000 0.0000 0.0000 (multiplicity 2)
Tl1 0.1317 0.3683 0.5000 (multiplicity 4)
S1 0.1406 0.6406 0.0000 (multiplicity 4)



Entry 3:
## MnIrN2 (PBE-GGA)

Data for a relaxed structure of MnIrN2.

## Properties
Formation energy without anion corrections, kJ/mol of atoms: 102
Theoretical density, Mg/m³: 11.60
Relative energy among the computed polymorphs, eV per atom: 0.9644
Calculated volume, Å³/cell: 158

Cell: 5.4009 5.4009 5.4009 Å, 90.00 90.00 90.00°
Space group Fm-3m (No. 225)
One atom of each set of equivalent atoms:
Mn1 0.0000 0.0000 0.0000 (multiplicity 4)
Ir1 0.0000 0.0000 0.5000 (multiplicity 4)
N1 0.2500 0.2500 0.2500 (multiplicity 8)